# 1
Below is a relaxed HoTmTe2 crystal, with properties calculated at the PBE-GGA level.

Cell lengths 4.155, 4.155, 8.006 Å; angles 74.96, 74.96, 60.00 degrees
Element x y z (fractional)
1 Te 0.252 0.252 0.244
2 Ho 0.497 0.497 0.509
3 Te 0.081 0.081 0.756
4 Tm 0.670 0.670 0.991

formation energy from raw total energies	-1.2433	eV/atom
D(E_F)	0.360	states/eV/atom
excess energy over the best structure of this formula in the dataset	0.00	eV/f.u.
V	114.2	Å³/f.u.
energy	-0.373	Ry/atom

# 2
Below is a relaxed HoTmTe2 crystal, with properties calculated at the PBE-GGA level.

Cell lengths 3.755, 5.313, 5.313 Å; angles 90.00, 90.00, 90.00 degrees
Last column: magnetic moment on the atom in μB.
Element x y z (fractional)
1 Te 0.000 0.000 0.500  -0.01
2 Ho 0.500 0.000 0.000  0.40
3 Te 0.000 0.500 0.000  -0.01
4 Tm 0.500 0.500 0.500  0.41

formation energy from raw total energies	-1.0960	eV/atom
D(E_F)	0.566	states/eV/atom
excess energy over the best structure of this formula in the dataset	0.59	eV/f.u.
V	106.0	Å³/f.u.
energy	-0.362	Ry/atom

# 3
Below is a relaxed Ho2TmTe4 crystal, with properties calculated at the PBE-GGA level.

Cell lengths 4.201, 7.424, 14.882 Å; angles 90.00, 90.00, 106.43 degrees
Element x y z (fractional)
1 Te 0.780 0.559 0.377
2 Ho 0.131 0.262 0.430
3 Te 0.220 0.441 0.623
4 Ho 0.869 0.738 0.930
5 Tm 0.371 0.742 0.250
6 Te 0.972 0.943 0.750
7 Te 0.780 0.559 0.123
8 Te 0.500 0.000 0.000
9 Tm 0.629 0.258 0.750
10 Ho 0.131 0.262 0.070
11 Te 0.220 0.441 0.877
12 Te 0.500 0.000 0.500
13 Te 0.028 0.057 0.250
14 Ho 0.869 0.738 0.570

formation energy from raw total energies	-1.3004	eV/atom
D(E_F)	0.425	states/eV/atom
excess energy over the best structure of this formula in the dataset	0.39	eV/f.u.
V	222.6	Å³/f.u.
energy	-0.371	Ry/atom

# 4
Below is a relaxed YHo2TmTe6 crystal, with properties calculated at the PBE-GGA level.

Cell lengths 7.657, 7.657, 8.274 Å; angles 62.44, 62.44, 60.00 degrees
Element x y z (fractional)
1 Te 0.104 0.415 0.753
2 Ho 0.009 0.008 0.974
3 Te 0.231 0.919 0.250
4 Te 0.415 0.729 0.753
5 Tm 0.324 0.324 0.028
6 Te 0.729 0.104 0.753
7 Te 0.599 0.231 0.250
8 Ho 0.509 0.509 0.473
9 Te 0.919 0.599 0.250
10 Y 0.823 0.823 0.530

formation energy from raw total energies	-1.3555	eV/atom
V	355.1	Å³/f.u.
energy	-0.386	Ry/atom

# 5
Below is a relaxed YHoTm2Te6 crystal, with properties calculated at the PBE-GGA level.

Cell lengths 7.642, 7.642, 8.255 Å; angles 62.43, 62.43, 60.00 degrees
Element x y z (fractional)
1 Te 0.604 0.234 0.250
2 Te 0.234 0.912 0.250
3 Tm 0.008 0.008 0.977
4 Te 0.912 0.604 0.250
5 Y 0.823 0.823 0.532
6 Te 0.733 0.106 0.751
7 Ho 0.323 0.323 0.030
8 Te 0.410 0.733 0.751
9 Te 0.106 0.410 0.751
10 Tm 0.508 0.508 0.476

formation energy from raw total energies	-1.3497	eV/atom
V	352.9	Å³/f.u.
energy	-0.385	Ry/atom

# 6
Below is a relaxed Y3HoTm2Te6 crystal, with properties calculated at the PBE-GGA level.

Cell lengths 4.318, 8.727, 9.718 Å; angles 103.44, 102.83, 90.00 degrees
Element x y z (fractional)
1 Tm 0.165 0.331 0.331
2 Te 0.002 0.249 0.003
3 Te 0.667 0.087 0.334
4 Te 0.331 0.420 0.663
5 Te 0.333 0.913 0.666
6 Tm 0.835 0.669 0.669
7 Ho 0.500 0.000 0.000
8 Te 0.998 0.751 0.997
9 Te 0.669 0.580 0.337
10 Y 0.835 0.167 0.670
11 Y 0.500 0.500 0.000
12 Y 0.165 0.833 0.330

formation energy from raw total energies	-1.2526	eV/atom
D(E_F)	0.541	states/eV/atom
V	346.8	Å³/f.u.
energy	-0.409	Ry/atom

# 7
Below is a relaxed HoU2Te5 crystal, with properties calculated at the PBE-GGA level.

Cell lengths 5.283, 7.443, 7.443 Å; angles 90.00, 90.00, 90.00 degrees
Last column: magnetic moment on the atom in μB.
Element x y z (fractional)
1 U 0.500 0.500 0.000  3.05
2 Ho 0.000 0.000 0.000  -0.02
3 U 0.500 0.000 0.500  3.05
4 Te 0.000 0.720 0.280  -0.06
5 Te 0.500 0.000 0.000  -0.04
6 Te 0.000 0.280 0.280  -0.06
7 Te 0.000 0.280 0.720  -0.06
8 Te 0.000 0.720 0.720  -0.06

formation energy from raw total energies	-0.0605	eV/atom
D(E_F)	1.189	states/eV/atom
V	292.7	Å³/f.u.
energy	-0.398	Ry/atom

# 8
Below is a relaxed Ho2UTe6 crystal, with properties calculated at the PBE-GGA level.

Cell lengths 7.225, 7.225, 13.077 Å; angles 90.00, 90.00, 90.00 degrees
Last column: magnetic moment on the atom in μB.
Element x y z (fractional)
1 Te 0.709 0.709 0.000  -0.04
2 Te 0.300 0.300 0.339  -0.04
3 Te 0.791 0.209 0.500  -0.04
4 Te 0.700 0.700 0.339  -0.04
5 Te 0.291 0.291 0.000  -0.04
6 U 0.500 0.500 0.500  0.87
7 Ho 0.000 0.000 0.665  -0.02
8 Ho 0.500 0.500 0.835  -0.02
9 Te 0.300 0.300 0.661  -0.04
10 Ho 0.500 0.500 0.165  -0.02
11 Ho 0.000 0.000 0.335  -0.02
12 Te 0.800 0.200 0.839  -0.04
13 Te 0.800 0.200 0.161  -0.04
14 Te 0.200 0.800 0.161  -0.04
15 Te 0.700 0.700 0.661  -0.04
16 Te 0.200 0.800 0.839  -0.04
17 Te 0.209 0.791 0.500  -0.04
18 U 0.000 0.000 0.000  0.87

formation energy from raw total energies	-0.8468	eV/atom
D(E_F)	0.645	states/eV/atom
V	341.3	Å³/f.u.
energy	-0.383	Ry/atom